(1)
This record from Alexandria via LeMat-Bulk describes LiSi3Sb at its PBEsol-relaxed geometry. The functional is meta-GGA SCAN.

* DOS(E_F): 2.43 states/eV/cell
* raw formation energy: 1.310 eV/atom
* ρ: 2.59 g/cm3
* VASP energy: -12.630 eV/atom
* calculated volume: 136.68 Å³/cell

Cell lengths 5.151, 5.151, 5.151 Å; angles 90.00, 90.00, 90.00 degrees
Element x y z (fractional)
Si1 0.000 0.000 0.500
Si2 0.000 0.500 0.000
Si3 0.500 0.000 0.000
Sb1 0.000 0.000 0.000
Li1 0.500 0.500 0.500



(2)
This record from Alexandria via LeMat-Bulk describes AlAsCl2 at its PBEsol-relaxed geometry. The functional is meta-GGA SCAN.

* DOS(E_F): 2.18 states/eV/cell
* raw formation energy: -0.225 eV/atom
* ρ: 3.36 g/cm3
* VASP energy: -11.200 eV/atom
* calculated volume: 85.35 Å³/cell

Cell lengths 3.311, 3.401, 8.677 Å; angles 90.00, 90.00, 119.13 degrees
Element x y z (fractional)
Al1 0.000 0.000 0.500
Cl1 0.500 0.000 0.305
Cl2 0.000 0.000 0.961
As1 0.500 0.000 0.735



(3)
This record from Alexandria via LeMat-Bulk describes ZnCu2Au2 at its PBEsol-relaxed geometry. The functional is meta-GGA SCAN.

* DOS(E_F): 2.76 states/eV/cell
* ΔE_f: -0.04 eV/atom
* ρ: 13.30 g/cm3
* VASP energy: -36.489 eV/atom
* calculated volume: 146.46 Å³/cell

Cell lengths 3.593, 6.384, 6.384 Å; angles 90.00, 90.00, 90.00 degrees
Element x y z (fractional)
Au1 0.500 0.833 0.333
Au2 0.500 0.667 0.833
Au3 0.500 0.333 0.167
Au4 0.500 0.167 0.667
Cu1 0.000 0.367 0.867
Cu2 0.000 0.867 0.633
Cu3 0.000 0.133 0.367
Cu4 0.000 0.633 0.133
Zn1 0.000 0.000 0.000
Zn2 0.000 0.500 0.500



(4)
This record from Alexandria via LeMat-Bulk describes KNi2BP at its PBEsol-relaxed geometry. The functional is meta-GGA SCAN.

* DOS(E_F): 5.81 states/eV/cell
* ΔE_f: 0.89 eV/atom
* ρ: 4.29 g/cm3
* VASP energy: -10.815 eV/atom
* calculated volume: 76.76 Å³/cell

Cell lengths 3.936, 3.936, 4.955 Å; angles 90.00, 90.00, 90.00 degrees
Element x y z (fractional)
K1 0.000 0.000 0.500
Ni1 0.500 0.000 0.000
Ni2 0.000 0.500 0.000
B1 0.000 0.000 0.000
P1 0.500 0.500 0.500



Q: Which of these has the lowest VASP energy?
A: ZnCu2Au2